No. 1
An optimized crystal structure of Co2TcAg, computed with GGA-PBEsol.

abc: 2.6421 2.6421 7.2051
angles: 90.00 90.00 90.00
With the nearest neighbours (Å) after each atom.
Fractional coordinates of all 4 atoms:
Co: 0.0000 0.0000 0.2291  4 Tc 2.49, 4 Co 2.64, 4 Ag 2.70
Co: 0.0000 0.0000 0.7709  4 Tc 2.49, 4 Co 2.64, 4 Ag 2.70
Tc: 0.5000 0.5000 0.0000  8 Co 2.49, 4 Tc 2.64
Ag: 0.5000 0.5000 0.5000  4 Ag 2.64, 8 Co 2.70

## Properties
As for the energy above the lowest structure with this stoichiometry: 0.0000 eV per atom. As for the raw total energy: -7.29 eV per atom. The calculation puts the magnetization at 0.0 μB/f.u.

No. 2
An optimized crystal structure of CoAgTe2, computed with GGA-PBEsol.

abc: 3.7050 3.7050 8.2079
angles: 76.96 76.96 60.00
With the nearest neighbours (Å) after each atom.
Fractional coordinates of all 4 atoms:
Co: 0.5000 0.5000 0.5000  6 Te 2.51
Ag: 0.0000 0.0000 0.0000  2 Te 2.65
Te: 0.8885 0.8885 0.3345  3 Co 2.51, 1 Ag 2.65
Te: 0.1115 0.1115 0.6655  3 Co 2.51, 1 Ag 2.65

## Properties
The formation energy from raw total energies is -0.0279 eV/atom. As for the raw total energy: -4.55 eV per atom. The calculation puts the magnetization at 0.0 μB/f.u.